1.
A geometry-optimized ScAs3Au structure, computed with PBE-GGA.

```
ScAs3Au
1.0
5.052 0.000 0.000
0.000 5.052 0.000
0.000 0.000 5.052
Sc As Au
1 3 1
Direct
0.000 0.000 0.000
0.000 0.000 0.500
0.000 0.500 0.000
0.500 0.000 0.000
0.500 0.500 0.500
```

Calculated values
Energy above the most stable polymorph in this dataset   0.00 kJ/mol of atoms
E_form   0.43 eV per atom
D(E_F)   3.9 states/eV/f.u.

=====

2.
A geometry-optimized ScAsAu2 structure, computed with PBE-GGA.

```
ScAsAu2
1.0
4.564 0.000 0.000
-2.282 3.952 0.000
0.000 0.000 13.495
Sc As Au
3 3 6
Direct
0.000 0.000 0.000
0.333 0.667 0.667
0.667 0.333 0.333
0.000 0.000 0.798
0.333 0.667 0.465
0.667 0.333 0.131
0.000 0.000 0.226
0.000 0.000 0.430
0.333 0.667 0.096
0.333 0.667 0.892
0.667 0.333 0.559
0.667 0.333 0.763
```

Calculated values
E_form   -0.52 eV per atom
D(E_F)   0.7 states/eV/f.u.

=====

3.
A geometry-optimized ScAs2Au structure, computed with PBE-GGA.

```
ScAs2Au
1.0
3.685 0.000 0.000
0.000 3.685 0.000
0.000 0.000 5.857
Sc As Au
1 2 1
Direct
0.000 0.000 0.000
0.500 0.500 0.214
0.500 0.500 0.786
0.000 0.000 0.500
```

Calculated values
E_form   -0.38 eV per atom
D(E_F)   2.3 states/eV/f.u.

=====

4.
A geometry-optimized ScAsAu structure, computed with PBE-GGA.

```
ScAsAu
1.0
3.686 0.000 0.000
0.000 3.686 0.000
0.000 0.000 8.668
Sc As Au
2 2 2
Direct
0.000 0.000 0.000
0.500 0.500 0.500
0.000 0.000 0.360
0.500 0.500 0.860
0.000 0.000 0.673
0.500 0.500 0.173
```

Calculated values
E_form   -0.58 eV per atom
D(E_F)   1.8 states/eV/f.u.

=====

5.
A geometry-optimized Sc2AsAu structure, computed with PBE-GGA.

```
Sc2AsAu
1.0
6.680 0.000 0.000
0.000 3.839 0.000
-2.202 0.000 6.686
Sc As Au
4 2 2
Direct
0.243 0.000 0.231
0.257 0.500 0.769
0.743 0.500 0.231
0.757 0.000 0.769
0.000 0.500 0.000
0.500 0.000 0.000
0.000 0.000 0.500
0.500 0.500 0.500
```

Calculated values
E_form   -0.94 eV per atom
D(E_F)   3.1 states/eV/f.u.

=====

6.
A geometry-optimized Sc2AsAu structure, computed with PBE-GGA.

```
Sc2AsAu
1.0
6.624 0.000 0.000
0.000 6.637 0.000
0.000 0.000 3.555
Sc As Au
4 2 2
Direct
0.250 0.250 0.000
0.250 0.750 0.000
0.750 0.250 0.000
0.750 0.750 0.000
0.000 0.000 0.500
0.500 0.500 0.500
0.000 0.500 0.500
0.500 0.000 0.500
```

Calculated values
E_form   -0.85 eV per atom
D(E_F)   3.9 states/eV/f.u.

=====

7.
A geometry-optimized ScAsAu structure, computed with PBE-GGA.

```
ScAsAu
1.0
4.224 0.000 0.000
-2.112 3.658 0.000
0.000 0.000 3.864
Sc As Au
1 1 1
Direct
0.000 0.000 0.000
0.333 0.667 0.364
0.667 0.333 0.601
```

Calculated values
E_form   -0.67 eV per atom
D(E_F)   1.5 states/eV/f.u.

=====

8.
A geometry-optimized Sc2AsAu structure, computed with PBE-GGA.

```
Sc2AsAu
1.0
3.908 0.000 0.000
0.000 3.971 0.000
0.000 0.000 10.129
Sc As Au
4 2 2
Direct
0.000 0.000 0.000
0.000 0.500 0.248
0.500 0.000 0.748
0.500 0.500 0.500
0.000 0.500 0.752
0.500 0.000 0.252
0.000 0.000 0.497
0.500 0.500 0.997
```

Calculated values
E_form   -0.81 eV per atom
D(E_F)   2.9 states/eV/f.u.

=====

9.
A geometry-optimized Sc2AsAu structure, computed with PBE-GGA.

```
Sc2AsAu
1.0
3.352 0.000 0.000
-1.676 2.903 0.000
0.000 0.000 27.103
Sc As Au
6 3 3
Direct
0.000 0.000 0.000
0.000 0.000 0.234
0.333 0.667 0.667
0.333 0.667 0.901
0.667 0.333 0.333
0.667 0.333 0.568
0.000 0.000 0.491
0.333 0.667 0.157
0.667 0.333 0.824
0.000 0.000 0.740
0.333 0.667 0.406
0.667 0.333 0.073
```

Calculated values
E_form   -0.23 eV per atom
D(E_F)   3.7 states/eV/f.u.

=====

10.
A geometry-optimized Sc2AsAu structure, computed with PBE-GGA.

```
Sc2AsAu
1.0
7.199 0.000 0.000
0.000 7.199 0.000
0.000 0.000 6.891
Sc As Au
8 4 4
Direct
0.242 0.750 0.125
0.250 0.242 0.875
0.250 0.258 0.375
0.258 0.750 0.625
0.742 0.250 0.625
0.750 0.742 0.375
0.750 0.758 0.875
0.758 0.250 0.125
0.000 0.000 0.000
0.000 0.500 0.250
0.500 0.000 0.750
0.500 0.500 0.500
0.000 0.000 0.500
0.000 0.500 0.750
0.500 0.000 0.250
0.500 0.500 0.000
```

Calculated values
E_form   -0.67 eV per atom
D(E_F)   2.4 states/eV/f.u.

=====

11.
A geometry-optimized Sc4AsAu structure, computed with PBE-GGA.

```
Sc4AsAu
1.0
0.000 4.015 4.015
4.015 0.000 4.015
4.015 4.015 0.000
Sc As Au
4 1 1
Direct
0.125 0.125 0.125
0.125 0.125 0.626
0.125 0.626 0.125
0.626 0.125 0.125
0.750 0.750 0.750
0.500 0.500 0.500
```

Calculated values
E_form   0.11 eV per atom
D(E_F)   8.1 states/eV/f.u.

=====

12.
A geometry-optimized ScAsAu2 structure, computed with PBE-GGA.

```
ScAsAu2
1.0
4.013 0.000 0.000
0.000 4.013 0.000
0.000 0.000 9.318
Sc As Au
2 2 4
Direct
0.000 0.000 0.000
0.500 0.500 0.500
0.000 0.000 0.500
0.500 0.500 0.000
0.000 0.500 0.250
0.000 0.500 0.750
0.500 0.000 0.250
0.500 0.000 0.750
```

Calculated values
E_form   -0.57 eV per atom
D(E_F)   1.8 states/eV/f.u.